VASP calculation (GGA-PBE) on a relaxed structure of Ho3TlRh8.

Computed properties:
For the calculated density, the calculation gives 11.88 g cm⁻³. For the magnetization, the calculation gives 0.00 μB/f.u. Its energy of formation from the pure elements is -569.6 meV/atom. Its symmetry is R3m. The value obtained for the density of states at the Fermi level is 0.929 states/eV/atom.

a = 5.3015 Å, b = 5.3015 Å, c = 9.2635 Å
α = 73.37°, β = 73.37°, γ = 60.00°
Sites, in units of the cell vectors:
Ho1 0.3756 0.3756 0.8731
Ho2 0.9955 0.9955 0.0135
Ho3 0.5041 0.5041 0.4878
Tl1 0.8737 0.8737 0.3788
Rh1 0.9393 0.4379 0.1849
Rh2 0.4368 0.9368 0.6896
Rh3 0.4379 0.4379 0.1849
Rh4 0.9368 0.9368 0.6896
Rh5 0.1878 0.1878 0.4365
Rh6 0.6877 0.6877 0.9370
Rh7 0.4379 0.9393 0.1849
Rh8 0.9368 0.4368 0.6896


VASP calculation (GGA-PBE) on a relaxed structure of HoTlRh4.

Computed properties:
For the calculated density, the calculation gives 12.31 g cm⁻³. For the magnetization, the calculation gives 0.00 μB/f.u. Its energy of formation from the pure elements is -370.1 meV/atom. Its symmetry is F-43m. The value obtained for the density of states at the Fermi level is 1.169 states/eV/atom.

a = 5.3009 Å, b = 5.3009 Å, c = 5.3009 Å
α = 60.00°, β = 60.00°, γ = 60.00°
Sites, in units of the cell vectors:
Tl1 0.0000 0.0000 0.0000
Rh1 0.6254 0.6254 0.1237
Rh2 0.6254 0.1237 0.6254
Rh3 0.6254 0.6254 0.6254
Rh4 0.1237 0.6254 0.6254
Ho1 0.2500 0.2500 0.2500


VASP calculation (GGA-PBE) on a relaxed structure of Ho4TlRh5.

Computed properties:
For the calculated density, the calculation gives 11.77 g cm⁻³. For the magnetization, the calculation gives 0.00 μB/f.u. Its energy of formation from the pure elements is -726.1 meV/atom. Its symmetry is P4/mmm. The value obtained for the density of states at the Fermi level is 0.480 states/eV/atom.

a = 3.4359 Å, b = 3.4359 Å, c = 16.4693 Å
α = 90.00°, β = 90.00°, γ = 90.00°
Sites, in units of the cell vectors:
Ho1 0.0000 0.0000 0.1941
Ho2 0.0000 0.0000 0.3982
Ho3 0.0000 0.0000 0.6018
Ho4 0.0000 0.0000 0.8059
Tl1 0.0000 0.0000 0.0000
Rh1 0.5000 0.5000 0.0962
Rh2 0.5000 0.5000 0.2974
Rh3 0.5000 0.5000 0.5000
Rh4 0.5000 0.5000 0.7026
Rh5 0.5000 0.5000 0.9038